1.
Compound: K2MoSe
Source: Alexandria via LeMat-Bulk
Functional: GGA-PBE
Structure: optimized geometry

Geometry as POSCAR:
```
K2MoSe
1.0
-2.2837 2.2891 5.3354
2.2837 -2.2891 5.3354
2.2837 2.2891 -5.3354
K Mo Se
2 1 1
Cartesian
0.0000 0.0000 2.6655 K
0.0000 0.0000 8.0052 K
0.0000 2.2891 0.0000 Mo
2.2837 0.0000 0.0000 Se
```

Output
**M_tot**: 3.98 μB/cell
**ΔE_f (raw)**: 620 meV per atom
**Energy above the lowest structure with this stoichiometry**: 388.7 meV per atom

---

2.
Compound: ZrAuSe3
Source: Alexandria via LeMat-Bulk
Functional: GGA-PBE
Structure: optimized geometry

Geometry as POSCAR:
```
ZrAuSe3
1.0
6.3176 0.0000 0.0000
0.0000 6.7445 0.0000
-4.4645 0.0000 11.4329
Zr Au Se
4 4 12
Cartesian
-0.0074 0.8084 2.8707 Zr
-2.2396 2.5639 8.5872 Zr
4.0927 4.1806 2.8457 Zr
1.8604 5.9361 8.5622 Zr
2.5448 1.0707 0.6223 Au
0.3125 2.3015 6.3388 Au
1.5406 4.4429 5.0942 Au
-0.6917 5.6738 10.8106 Au
-3.7493 1.1724 10.2931 Se
-1.5171 2.1998 4.5766 Se
-2.9133 4.5685 10.3197 Se
-0.6810 5.5482 4.6032 Se
-0.5591 0.5155 8.1278 Se
1.6732 2.8567 2.4113 Se
0.1799 3.8878 9.0216 Se
2.4122 6.2289 3.3051 Se
2.5341 1.1963 6.8297 Se
4.7664 2.1760 1.1133 Se
3.3701 4.5447 6.8563 Se
5.6024 5.5720 1.1399 Se
```

Output
**M_tot**: 0.00 μB/cell
**ΔE_f (raw)**: -613 meV per atom
**Energy above the lowest structure with this stoichiometry**: 0.0 meV per atom

---

3.
Compound: K2Pa2TlO7
Source: Alexandria via LeMat-Bulk
Functional: GGA-PBE
Structure: optimized geometry

Geometry as POSCAR:
```
K2Pa2TlO7
1.0
-2.2122 2.2122 11.1895
2.2122 -2.2122 11.1895
2.2122 2.2122 -11.1895
K Pa Tl O
2 2 1 7
Cartesian
0.0000 0.0000 4.2817 K
0.0000 0.0000 18.0974 K
0.0000 0.0000 8.9898 Pa
0.0000 0.0000 13.3892 Pa
0.0000 0.0000 0.0000 Tl
2.2122 0.0000 2.2032 O
0.0000 0.0000 6.9701 O
2.2122 0.0000 8.9863 O
0.0000 0.0000 11.1895 O
0.0000 2.2122 2.2032 O
0.0000 0.0000 15.4090 O
0.0000 2.2122 8.9863 O
```

Output
**M_tot**: 0.80 μB/cell
**ΔE_f (raw)**: -2594 meV per atom

---

4.
Compound: LiCrInIr
Source: Alexandria via LeMat-Bulk
Functional: GGA-PBE
Structure: optimized geometry

Geometry as POSCAR:
```
LiCrInIr
1.0
0.0000 3.0984 3.0984
3.0984 0.0000 3.0984
3.0984 3.0984 0.0000
Li Cr In Ir
1 1 1 1
Cartesian
0.0000 0.0000 0.0000 Li
4.6476 4.6476 4.6476 Cr
1.5492 1.5492 1.5492 In
3.0984 3.0984 3.0984 Ir
```

Output
**M_tot**: 1.00 μB/cell
**Energy of formation from the pure elements**: -0.024 eV per atom

---

no.,total energy (eV per atom)
1,-3.507
2,-5.069
3,-7.449
4,-5.809